#one
# GGA-PBE RbCr2SnAs, optimized geometry
# * spin magnetization: 0.12 μB/f.u.
data_RbCr2SnAs
_chemical_formula_sum 'Rb1 Cr2 Sn1 As1'
_cell_length_a 4.535
_cell_length_b 4.535
_cell_length_c 5.867
_cell_angle_alpha 90.00
_cell_angle_beta 90.00
_cell_angle_gamma 90.00
_symmetry_space_group_name_H-M 'P 4/m m m'
_symmetry_Int_Tables_number 123
_symmetry_space_group_name_Hall '-P 4 2'
loop_
_atom_site_label
_atom_site_type_symbol
_atom_site_fract_x
_atom_site_fract_y
_atom_site_fract_z
Rb1 Rb 0.000 0.000 0.000
Cr1 Cr 0.000 0.500 0.000
Sn1 Sn 0.000 0.000 0.500
As1 As 0.500 0.500 0.500

#two
# GGA-PBE RbCr2SnAs, optimized geometry
# * spin magnetization: 8.42 μB/f.u.
data_RbCr2SnAs
_chemical_formula_sum 'Rb1 Cr2 Sn1 As1'
_cell_length_a 5.039
_cell_length_b 5.039
_cell_length_c 5.875
_cell_angle_alpha 90.00
_cell_angle_beta 90.00
_cell_angle_gamma 90.00
_symmetry_space_group_name_H-M 'P 4/m m m'
_symmetry_Int_Tables_number 123
_symmetry_space_group_name_Hall '-P 4 2'
loop_
_atom_site_label
_atom_site_type_symbol
_atom_site_fract_x
_atom_site_fract_y
_atom_site_fract_z
Rb1 Rb 0.000 0.000 0.000
Cr1 Cr 0.000 0.500 0.500
Sn1 Sn 0.500 0.500 0.000
As1 As 0.500 0.500 0.500

Which structure is most stable? #two, by 2171 meV per atom over the runner-up.

#one
# GGA-PBE CrReAs2, optimized geometry
# * spin magnetization: 0.00 μB/f.u.
data_CrReAs2
_chemical_formula_sum 'Cr1 Re1 As2'
_cell_length_a 3.006
_cell_length_b 4.481
_cell_length_c 4.336
_cell_angle_alpha 90.00
_cell_angle_beta 90.00
_cell_angle_gamma 90.00
_symmetry_space_group_name_H-M 'P m m 2'
_symmetry_Int_Tables_number 25
loop_
_symmetry_equiv_pos_as_xyz
'x,y,z'
'-x,-y,z'
'-x,y,z'
'x,-y,z'
loop_
_atom_site_label
_atom_site_type_symbol
_atom_site_fract_x
_atom_site_fract_y
_atom_site_fract_z
Cr1 Cr 0.000 0.000 0.000
Re1 Re 0.500 0.500 0.774
As1 As 0.000 0.500 0.257
As2 As 0.500 0.000 0.508

#two
# GGA-PBE CrReAs2, optimized geometry
# * spin magnetization: 3.70 μB/f.u.
data_CrReAs2
_chemical_formula_sum 'Cr4 Re4 As8'
_cell_length_a 5.630
_cell_length_b 5.630
_cell_length_c 11.272
_cell_angle_alpha 90.00
_cell_angle_beta 90.00
_cell_angle_gamma 90.00
_symmetry_space_group_name_H-M 'I -4 2 d'
_symmetry_Int_Tables_number 122
_symmetry_space_group_name_Hall 'I -4 2bw'
loop_
_atom_site_label
_atom_site_type_symbol
_atom_site_fract_x
_atom_site_fract_y
_atom_site_fract_z
Cr1 Cr 0.000 0.000 0.000
Re1 Re 0.000 0.000 0.500
As1 As 0.237 0.250 0.625

Which structure is most stable? #one, by 407 meV per atom over the runner-up.

#one
# GGA-PBE CrRe3As, optimized geometry
# * spin magnetization: 0.00 μB/f.u.
data_CrRe3As
_chemical_formula_sum 'Cr1 Re3 As1'
_cell_length_a 4.476
_cell_length_b 4.476
_cell_length_c 4.476
_cell_angle_alpha 90.00
_cell_angle_beta 90.00
_cell_angle_gamma 90.00
_symmetry_space_group_name_H-M 'P m -3 m'
_symmetry_Int_Tables_number 221
_symmetry_space_group_name_Hall '-P 4 2 3'
loop_
_atom_site_label
_atom_site_type_symbol
_atom_site_fract_x
_atom_site_fract_y
_atom_site_fract_z
Cr1 Cr 0.000 0.000 0.000
Re1 Re 0.000 0.000 0.500
As1 As 0.500 0.500 0.500

#two
# GGA-PBE CrRe3As, optimized geometry
# * spin magnetization: 0.14 μB/f.u.
data_CrRe3As
_chemical_formula_sum 'Cr1 Re3 As1'
_cell_length_a 4.479
_cell_length_b 4.479
_cell_length_c 4.479
_cell_angle_alpha 90.00
_cell_angle_beta 90.00
_cell_angle_gamma 90.00
_symmetry_space_group_name_H-M 'P m -3 m'
_symmetry_Int_Tables_number 221
_symmetry_space_group_name_Hall '-P 4 2 3'
loop_
_atom_site_label
_atom_site_type_symbol
_atom_site_fract_x
_atom_site_fract_y
_atom_site_fract_z
Cr1 Cr 0.000 0.000 0.000
Re1 Re 0.000 0.500 0.500
As1 As 0.500 0.500 0.500

Which structure is most stable? #one, by 181 meV per atom over the runner-up.

#one
# GGA-PBE Cr3ReAs, optimized geometry
# * spin magnetization: 3.66 μB/f.u.
data_Cr3ReAs
_chemical_formula_sum 'Cr3 Re1 As1'
_cell_length_a 4.367
_cell_length_b 4.367
_cell_length_c 4.367
_cell_angle_alpha 90.00
_cell_angle_beta 90.00
_cell_angle_gamma 90.00
_symmetry_space_group_name_H-M 'P m -3 m'
_symmetry_Int_Tables_number 221
_symmetry_space_group_name_Hall '-P 4 2 3'
loop_
_atom_site_label
_atom_site_type_symbol
_atom_site_fract_x
_atom_site_fract_y
_atom_site_fract_z
Cr1 Cr 0.000 0.000 0.500
Re1 Re 0.500 0.500 0.500
As1 As 0.000 0.000 0.000

#two
# GGA-PBE Cr3ReAs, optimized geometry
# * spin magnetization: 8.99 μB/f.u.
data_Cr3ReAs
_chemical_formula_sum 'Cr3 Re1 As1'
_cell_length_a 4.688
_cell_length_b 4.688
_cell_length_c 4.688
_cell_angle_alpha 90.00
_cell_angle_beta 90.00
_cell_angle_gamma 90.00
_symmetry_space_group_name_H-M 'P m -3 m'
_symmetry_Int_Tables_number 221
_symmetry_space_group_name_Hall '-P 4 2 3'
loop_
_atom_site_label
_atom_site_type_symbol
_atom_site_fract_x
_atom_site_fract_y
_atom_site_fract_z
Cr1 Cr 0.000 0.000 0.500
Re1 Re 0.000 0.000 0.000
As1 As 0.500 0.500 0.500

Which structure is most stable? #one, by 44 meV per atom over the runner-up.

#one
# GGA-PBE CrAs2Ru, optimized geometry
# * spin magnetization: 1.17 μB/f.u.
data_CrAs2Ru
_chemical_formula_sum 'Cr2 As4 Ru2'
_cell_length_a 2.892
_cell_length_b 4.818
_cell_length_c 9.846
_cell_angle_alpha 90.00
_cell_angle_beta 90.00
_cell_angle_gamma 90.00
_symmetry_space_group_name_H-M 'C m m 2'
_symmetry_Int_Tables_number 35
loop_
_symmetry_equiv_pos_as_xyz
'x,y,z'
'-x,-y,z'
'-x,y,z'
'x,-y,z'
'x+1/2,y+1/2,z'
'-x+1/2,-y+1/2,z'
'-x+1/2,y+1/2,z'
'x+1/2,-y+1/2,z'
loop_
_atom_site_label
_atom_site_type_symbol
_atom_site_fract_x
_atom_site_fract_y
_atom_site_fract_z
Cr1 Cr 0.000 0.000 0.000
As1 As 0.000 0.000 0.423
As2 As 0.000 0.500 0.796
Ru1 Ru 0.000 0.500 0.210

#two
# GGA-PBE CrAs2Ru, optimized geometry
# * spin magnetization: 1.22 μB/f.u.
data_CrAs2Ru
_chemical_formula_sum 'Cr1 As2 Ru1'
_cell_length_a 2.900
_cell_length_b 2.900
_cell_length_c 7.828
_cell_angle_alpha 90.00
_cell_angle_beta 90.00
_cell_angle_gamma 90.00
_symmetry_space_group_name_H-M 'P 4 m m'
_symmetry_Int_Tables_number 99
loop_
_symmetry_equiv_pos_as_xyz
'x,y,z'
'-y,x,z'
'-x,-y,z'
'y,-x,z'
'-x,y,z'
'y,x,z'
'x,-y,z'
'-y,-x,z'
loop_
_atom_site_label
_atom_site_type_symbol
_atom_site_fract_x
_atom_site_fract_y
_atom_site_fract_z
Cr1 Cr 0.000 0.000 0.000
As1 As 0.000 0.000 0.415
As2 As 0.500 0.500 0.802
Ru1 Ru 0.500 0.500 0.217

Which structure is most stable? #two, by 281 meV per atom over the runner-up.

#one
# GGA-PBE CrAs2Ru, optimized geometry
# * spin magnetization: 3.16 μB/f.u.
data_CrAs2Ru
_chemical_formula_sum 'Cr4 As8 Ru4'
_cell_length_a 6.272
_cell_length_b 6.272
_cell_length_c 6.272
_cell_angle_alpha 90.00
_cell_angle_beta 90.00
_cell_angle_gamma 90.00
_symmetry_space_group_name_H-M 'F -4 3 m'
_symmetry_Int_Tables_number 216
_symmetry_space_group_name_Hall 'F -4 2 3'
loop_
_atom_site_label
_atom_site_type_symbol
_atom_site_fract_x
_atom_site_fract_y
_atom_site_fract_z
Cr1 Cr 0.000 0.000 0.000
As1 As 0.000 0.000 0.500
As2 As 0.250 0.250 0.750
Ru1 Ru 0.250 0.250 0.250

#two
# GGA-PBE CrAs2Ru, optimized geometry
# * spin magnetization: 0.86 μB/f.u.
data_CrAs2Ru
_chemical_formula_sum 'Cr2 As4 Ru2'
_cell_length_a 6.085
_cell_length_b 6.092
_cell_length_c 3.037
_cell_angle_alpha 90.00
_cell_angle_beta 90.13
_cell_angle_gamma 90.00
_symmetry_space_group_name_H-M 'C 1 2/m 1'
_symmetry_Int_Tables_number 12
loop_
_symmetry_equiv_pos_as_xyz
'x,y,z'
'-x,-y,-z'
'-x,y,-z'
'x,-y,z'
'x+1/2,y+1/2,z'
'-x+1/2,-y+1/2,-z'
'-x+1/2,y+1/2,-z'
'x+1/2,-y+1/2,z'
loop_
_atom_site_label
_atom_site_type_symbol
_atom_site_fract_x
_atom_site_fract_y
_atom_site_fract_z
Cr1 Cr 0.000 0.000 0.000
As1 As 0.250 0.250 0.500
Ru1 Ru 0.000 0.500 0.000

Which structure is most stable? #two, by 394 meV per atom over the runner-up.

#one
# GGA-PBE CrAsRu3, optimized geometry
# * spin magnetization: 0.05 μB/f.u.
data_CrAsRu3
_chemical_formula_sum 'Cr1 As1 Ru3'
_cell_length_a 4.455
_cell_length_b 4.455
_cell_length_c 4.455
_cell_angle_alpha 90.00
_cell_angle_beta 90.00
_cell_angle_gamma 90.00
_symmetry_space_group_name_H-M 'P m -3 m'
_symmetry_Int_Tables_number 221
_symmetry_space_group_name_Hall '-P 4 2 3'
loop_
_atom_site_label
_atom_site_type_symbol
_atom_site_fract_x
_atom_site_fract_y
_atom_site_fract_z
Cr1 Cr 0.000 0.000 0.000
As1 As 0.500 0.500 0.500
Ru1 Ru 0.000 0.500 0.500

#two
# GGA-PBE CrAsRu3, optimized geometry
# * spin magnetization: 0.00 μB/f.u.
data_CrAsRu3
_chemical_formula_sum 'Cr1 As1 Ru3'
_cell_length_a 4.427
_cell_length_b 4.427
_cell_length_c 4.427
_cell_angle_alpha 90.00
_cell_angle_beta 90.00
_cell_angle_gamma 90.00
_symmetry_space_group_name_H-M 'P m -3 m'
_symmetry_Int_Tables_number 221
_symmetry_space_group_name_Hall '-P 4 2 3'
loop_
_atom_site_label
_atom_site_type_symbol
_atom_site_fract_x
_atom_site_fract_y
_atom_site_fract_z
Cr1 Cr 0.000 0.000 0.000
As1 As 0.500 0.500 0.500
Ru1 Ru 0.000 0.000 0.500

Which structure is most stable? #two, by 95 meV per atom over the runner-up.

#one
# GGA-PBE Cr3AsS, optimized geometry
# * spin magnetization: 12.99 μB/f.u.
data_Cr3AsS
_chemical_formula_sum 'Cr3 As1 S1'
_cell_length_a 4.803
_cell_length_b 4.803
_cell_length_c 4.803
_cell_angle_alpha 90.00
_cell_angle_beta 90.00
_cell_angle_gamma 90.00
_symmetry_space_group_name_H-M 'P m -3 m'
_symmetry_Int_Tables_number 221
_symmetry_space_group_name_Hall '-P 4 2 3'
loop_
_atom_site_label
_atom_site_type_symbol
_atom_site_fract_x
_atom_site_fract_y
_atom_site_fract_z
Cr1 Cr 0.000 0.000 0.500
As1 As 0.000 0.000 0.000
S1 S 0.500 0.500 0.500

#two
# GGA-PBE Cr3AsS, optimized geometry
# * spin magnetization: 4.85 μB/f.u.
data_Cr3AsS
_chemical_formula_sum 'Cr3 As1 S1'
_cell_length_a 4.237
_cell_length_b 4.237
_cell_length_c 4.237
_cell_angle_alpha 90.00
_cell_angle_beta 90.00
_cell_angle_gamma 90.00
_symmetry_space_group_name_H-M 'P m -3 m'
_symmetry_Int_Tables_number 221
_symmetry_space_group_name_Hall '-P 4 2 3'
loop_
_atom_site_label
_atom_site_type_symbol
_atom_site_fract_x
_atom_site_fract_y
_atom_site_fract_z
Cr1 Cr 0.000 0.000 0.500
As1 As 0.500 0.500 0.500
S1 S 0.000 0.000 0.000

Which structure is most stable? #two, by 300 meV per atom over the runner-up.